No. 1
A relaxed structure of Pm4TmZn, computed with PBE.

Structure (POSCAR):
```
Pm4TmZn
1.0
3.633 0.000 0.000
0.000 3.633 0.000
0.000 0.000 13.842
Pm Tm Zn
4 1 1
direct
0.000 0.000 0.133
0.000 0.000 0.867
0.500 0.500 0.321
0.500 0.500 0.679
0.000 0.000 0.500
0.500 0.500 0.000
```

Properties
* formation energy: -94.2 meV per atom
* total magnetization: 0.00 μB/atom
* N(E_F): 6.672 states/eV/f.u.
* symmetry: P4/mmm (123)

=====

No. 2
A relaxed structure of PmTmZn, computed with PBE.

Structure (POSCAR):
```
PmTmZn
1.0
4.979 0.000 0.000
-2.490 4.312 0.000
0.000 0.000 3.755
Pm Tm Zn
1 1 1
direct
0.000 0.000 0.000
0.333 0.667 0.528
0.667 0.333 0.382
```

Properties
* formation energy: -49.5 meV per atom
* total magnetization: 0.00 μB/atom
* N(E_F): 3.988 states/eV/f.u.
* symmetry: P3m1 (156)

=====

No. 3
A relaxed structure of Pm4Tm5Zn, computed with PBE.

Structure (POSCAR):
```
Pm4Tm5Zn
1.0
3.558 0.000 0.000
0.000 3.558 0.000
0.000 0.000 23.795
Pm Tm Zn
4 5 1
direct
0.000 0.000 0.106
0.000 0.000 0.319
0.000 0.000 0.681
0.000 0.000 0.894
0.500 0.500 0.000
0.500 0.500 0.213
0.500 0.500 0.427
0.500 0.500 0.573
0.500 0.500 0.787
0.000 0.000 0.500
```

Properties
* formation energy: -53.7 meV per atom
* total magnetization: 0.00 μB/atom
* N(E_F): 12.127 states/eV/f.u.
* symmetry: P4/mmm (123)

=====

No. 4
A relaxed structure of Pm4TmZn5, computed with PBE.

Structure (POSCAR):
```
Pm4TmZn5
1.0
3.624 0.000 0.000
0.000 3.624 0.000
0.000 0.000 18.229
Pm Tm Zn
4 1 5
direct
0.000 0.000 0.102
0.000 0.000 0.305
0.000 0.000 0.695
0.000 0.000 0.898
0.000 0.000 0.500
0.500 0.500 0.000
0.500 0.500 0.202
0.500 0.500 0.410
0.500 0.500 0.590
0.500 0.500 0.798
```

Properties
* formation energy: -318.1 meV per atom
* total magnetization: 0.00 μB/atom
* N(E_F): 11.505 states/eV/f.u.
* symmetry: P4/mmm (123)

=====

No. 5
A relaxed structure of Pm3Tm2Zn2, computed with PBE.

Structure (POSCAR):
```
Pm3Tm2Zn2
1.0
2.368 -11.633 0.000
2.368 11.633 0.000
0.000 0.000 3.454
Pm Tm Zn
3 2 2
direct
0.000 0.000 0.000
0.138 0.862 0.000
0.862 0.138 0.000
0.293 0.707 0.500
0.707 0.293 0.500
0.432 0.568 0.500
0.568 0.432 0.500
```

Properties
* formation energy: 30.0 meV per atom
* total magnetization: 0.00 μB/atom
* N(E_F): 8.250 states/eV/f.u.
* symmetry: Cmmm (65)

=====

No. 6
A relaxed structure of Pm4TmZn, computed with PBE.

Structure (POSCAR):
```
Pm4TmZn
1.0
5.237 0.000 0.000
0.000 5.237 0.000
0.000 0.000 7.479
Pm Tm Zn
4 1 1
direct
0.000 0.500 0.232
0.000 0.500 0.768
0.500 0.000 0.232
0.500 0.000 0.768
0.000 0.000 0.500
0.500 0.500 0.000
```

Properties
* formation energy: 362.5 meV per atom
* total magnetization: 0.00 μB/atom
* N(E_F): 8.395 states/eV/f.u.
* symmetry: P4/mmm (123)

=====

No. 7
A relaxed structure of PmTm2Zn9, computed with PBE.

Structure (POSCAR):
```
PmTm2Zn9
1.0
2.720 1.570 8.553
-2.720 1.570 8.553
0.000 -3.141 8.553
Pm Tm Zn
1 2 9
direct
0.000 0.000 0.000
0.141 0.141 0.141
0.859 0.859 0.859
0.077 0.587 0.587
0.335 0.335 0.335
0.413 0.413 0.923
0.413 0.923 0.413
0.500 0.500 0.500
0.587 0.077 0.587
0.587 0.587 0.077
0.665 0.665 0.665
0.923 0.413 0.413
```

Properties
* formation energy: -321.0 meV per atom
* total magnetization: 0.00 μB/atom
* N(E_F): 6.891 states/eV/f.u.
* symmetry: R-3m (166)

=====

No. 8
A relaxed structure of Pm4TmZn4, computed with PBE.

Structure (POSCAR):
```
Pm4TmZn4
1.0
8.737 0.000 0.000
0.000 8.737 0.000
0.000 0.000 6.392
Pm Tm Zn
8 2 8
direct
0.028 0.657 0.143
0.157 0.972 0.643
0.343 0.528 0.643
0.472 0.843 0.143
0.528 0.157 0.857
0.657 0.472 0.357
0.843 0.028 0.357
0.972 0.343 0.857
0.250 0.250 0.250
0.750 0.750 0.750
0.022 0.635 0.603
0.135 0.978 0.103
0.365 0.522 0.103
0.478 0.865 0.603
0.522 0.135 0.397
0.635 0.478 0.897
0.865 0.022 0.897
0.978 0.365 0.397
```

Properties
* formation energy: -80.4 meV per atom
* total magnetization: 0.00 μB/atom
* N(E_F): 9.295 states/eV/f.u.
* symmetry: P4_2/n (86)

=====

No. 9
A relaxed structure of Pm2TmZn3, computed with PBE.

Structure (POSCAR):
```
Pm2TmZn3
1.0
5.106 0.000 0.000
-2.553 4.422 0.000
0.000 0.000 6.270
Pm Tm Zn
2 1 3
direct
0.333 0.667 0.177
0.667 0.333 0.823
0.000 0.000 0.500
0.000 0.000 0.000
0.333 0.667 0.666
0.667 0.333 0.334
```

Properties
* formation energy: -322.2 meV per atom
* total magnetization: 0.00 μB/atom
* N(E_F): 6.507 states/eV/f.u.
* symmetry: P-3m1 (164)

=====

No. 10
A relaxed structure of Pm5TmZn4, computed with PBE.

Structure (POSCAR):
```
Pm5TmZn4
1.0
3.654 0.000 0.000
0.000 3.654 0.000
0.000 0.000 19.571
Pm Tm Zn
5 1 4
direct
0.000 0.000 0.000
0.000 0.000 0.187
0.000 0.000 0.373
0.000 0.000 0.627
0.000 0.000 0.813
0.500 0.500 0.500
0.500 0.500 0.094
0.500 0.500 0.281
0.500 0.500 0.719
0.500 0.500 0.906
```

Properties
* formation energy: -245.1 meV per atom
* total magnetization: 0.00 μB/atom
* N(E_F): 11.384 states/eV/f.u.
* symmetry: P4/mmm (123)

=====

No. 11
A relaxed structure of PmTm5Zn4, computed with PBE.

Structure (POSCAR):
```
PmTm5Zn4
1.0
3.527 0.000 0.000
0.000 3.527 0.000
0.000 0.000 19.268
Pm Tm Zn
1 5 4
direct
0.000 0.000 0.000
0.500 0.500 0.136
0.500 0.500 0.318
0.500 0.500 0.500
0.500 0.500 0.682
0.500 0.500 0.864
0.000 0.000 0.226
0.000 0.000 0.408
0.000 0.000 0.592
0.000 0.000 0.774
```

Properties
* formation energy: -277.1 meV per atom
* total magnetization: 0.00 μB/atom
* N(E_F): 10.611 states/eV/f.u.
* symmetry: P4/mmm (123)

=====

No. 12
A relaxed structure of Pm2Tm2Zn3, computed with PBE.

Structure (POSCAR):
```
Pm2Tm2Zn3
1.0
4.985 0.000 0.000
2.489 4.325 0.000
2.487 1.433 8.257
Pm Tm Zn
2 2 3
direct
0.125 0.127 0.122
0.875 0.873 0.878
0.375 0.376 0.374
0.625 0.624 0.626
0.000 0.000 0.500
0.255 0.255 0.735
0.745 0.745 0.265
```

Properties
* formation energy: -200.5 meV per atom
* total magnetization: 0.00 μB/atom
* N(E_F): 9.139 states/eV/f.u.
* symmetry: P-1 (2)